Tb3Dy2HoTe6 | PBE | relaxed

Values from the calculation:
space-group type: C2/m, No. 12
V: 351.18 Å³/cell
total magnetization: 0.0000 μB per atom
final energy: -0.1898 Ha/atom

Lattice parameters (Å, degrees): 9.7390 9.7390 8.7593 102.95 102.95 25.74
Sites, in units of the cell vectors:
1 Tb 0.0000 0.0000 0.0000
2 Tb 0.3327 0.3327 0.6677
3 Tb 0.6673 0.6673 0.3323
4 Dy 0.3329 0.3329 0.1669
5 Dy 0.6671 0.6671 0.8331
6 Ho 0.0000 0.0000 0.5000
7 Te 0.1656 0.1656 0.5831
8 Te 0.1668 0.1668 0.0815
9 Te 0.4997 0.4997 0.2521
10 Te 0.5003 0.5003 0.7479
11 Te 0.8332 0.8332 0.9185
12 Te 0.8344 0.8344 0.4169

---

TbDyHo2Te5 | PBE | relaxed

Values from the calculation:
space-group type: P4/mmm, No. 123
V: 357.59 Å³/cell
total magnetization: 0.0506 μB per atom
final energy: -0.1617 Ha/atom

Lattice parameters (Å, degrees): 5.5656 5.5656 11.5441 90.00 90.00 90.00
Sites, in units of the cell vectors:
1 Tb 0.0000 0.0000 0.0000
2 Dy 0.0000 0.0000 0.5000
3 Ho 0.5000 0.5000 0.1486
4 Ho 0.5000 0.5000 0.8514
5 Te 0.0000 0.0000 0.2543
6 Te 0.0000 0.0000 0.7457
7 Te 0.0000 0.5000 0.0000
8 Te 0.5000 0.0000 0.0000
9 Te 0.5000 0.5000 0.5000

---

TbDyHoTh | PBE | relaxed

Values from the calculation:
space-group type: F-43m, No. 216
V: 128.23 Å³/cell
energy above the most stable polymorph in this dataset: 145 meV per atom
total magnetization: 0.0005 μB per atom
final energy: -0.1895 Ha/atom

Lattice parameters (Å, degrees): 5.6603 5.6603 5.6603 60.00 60.00 60.00
Sites, in units of the cell vectors:
1 Tb 0.0000 0.0000 0.0000
2 Dy 0.7500 0.7500 0.7500
3 Ho 0.2500 0.2500 0.2500
4 Th 0.5000 0.5000 0.5000

---

Tb2Dy6HoTh3 | PBE | relaxed

Values from the calculation:
space-group type: C2/m, No. 12
V: 380.50 Å³/cell
total magnetization: 0.0000 μB per atom
final energy: -0.1943 Ha/atom

Lattice parameters (Å, degrees): 6.1702 6.1702 11.7193 95.04 95.04 119.97
Sites, in units of the cell vectors:
1 Tb 0.1666 0.8334 0.0000
2 Tb 0.8334 0.1666 0.0000
3 Dy 0.0824 0.4156 0.7464
4 Dy 0.2512 0.2512 0.2538
5 Dy 0.4156 0.0824 0.7464
6 Dy 0.5844 0.9176 0.2536
7 Dy 0.7488 0.7488 0.7462
8 Dy 0.9176 0.5844 0.2536
9 Ho 0.5000 0.5000 0.0000
10 Th 0.0000 0.0000 0.5000
11 Th 0.3331 0.6669 0.5000
12 Th 0.6669 0.3331 0.5000